ErCr4Cu3O12: optimized geometry, PBE with a Hubbard U.

The structure in POSCAR format:
```
ErCr4Cu3O12
1.0
6.396 0.000 0.000
-2.132 6.030 0.000
-2.132 -3.015 5.223
Er Cr Cu O
1 4 3 12
direct
0.000 0.000 0.000 Er
0.500 0.000 0.000 Cr
0.500 0.500 0.500 Cr
0.000 0.500 0.000 Cr
0.000 0.000 0.500 Cr
0.000 0.500 0.500 Cu
0.500 0.500 0.000 Cu
0.500 0.000 0.500 Cu
0.306 0.834 0.140 O
0.694 0.166 0.860 O
0.694 0.834 0.529 O
0.860 0.694 0.166 O
0.834 0.140 0.306 O
0.166 0.471 0.306 O
0.471 0.306 0.166 O
0.166 0.860 0.694 O
0.306 0.166 0.471 O
0.140 0.306 0.834 O
0.834 0.529 0.694 O
0.529 0.694 0.834 O
```

## Properties
* E_tot: -6.93 eV per atom